(1)
Compound: TlGaPtSe
Source: Alexandria
Functional: PBE
Structure: optimized geometry

Properties
Crystal system: monoclinic
Excess energy over the best structure of this formula in the dataset (meV/atom): 71
Raw formation energy (meV per atom): -243

a b c (Å): 6.699 4.159 7.202
angles (deg): 90.00 90.13 90.00
Fractional coordinates of all 8 atoms:
Tl 0.916 0.000 0.288
Tl 0.916 0.500 0.788
Ga 0.530 0.000 0.623
Ga 0.530 0.500 0.123
Pt 0.427 0.000 0.289
Pt 0.427 0.500 0.789
Se 0.237 0.000 0.956
Se 0.237 0.500 0.456

(2)
Compound: Er4TeAs2S
Source: Alexandria
Functional: PBE
Structure: optimized geometry

Properties
Crystal system: monoclinic
Raw formation energy (meV per atom): -1565

a b c (Å): 4.087 7.113 7.110
angles (deg): 70.70 90.00 90.00
Fractional coordinates of all 8 atoms:
Er 0.000 0.771 0.729
Er 0.000 0.229 0.271
Er 0.500 0.762 0.258
Er 0.500 0.238 0.742
Te 0.500 0.500 0.000
As 0.000 0.000 0.000
As 0.500 0.000 0.500
S 0.000 0.500 0.500

(3)
Compound: Pr2TmSn3Ir4
Source: Alexandria
Functional: PBE
Structure: optimized geometry

Properties
Crystal system: tetragonal
E_form (kJ/mol of atoms): -61.3

a b c (Å): 4.398 4.398 11.593
angles (deg): 90.00 90.00 90.00
Fractional coordinates of all 10 atoms:
Pr 0.500 0.000 0.234
Pr 0.000 0.500 0.766
Tm 0.500 0.500 0.500
Sn 0.000 0.000 0.500
Sn 0.500 0.000 0.873
Sn 0.000 0.500 0.127
Ir 0.500 0.500 0.000
Ir 0.000 0.000 0.000
Ir 0.500 0.000 0.646
Ir 0.000 0.500 0.354

(4)
Compound: Tb4PmTm7
Source: Alexandria
Functional: PBE
Structure: optimized geometry

Properties
Crystal system: monoclinic
Excess energy over the best structure of this formula in the dataset (meV/atom): 201
E_form (kJ/mol of atoms): 27.1

a b c (Å): 5.804 11.468 6.675
angles (deg): 83.21 64.23 75.34
Fractional coordinates of all 12 atoms:
Tb 0.634 0.225 0.508
Tb 0.366 0.775 0.492
Tb 0.757 0.680 0.807
Tb 0.243 0.320 0.193
Pm 0.000 0.000 0.000
Tm 0.789 0.923 0.499
Tm 0.211 0.077 0.501
Tm 0.062 0.675 0.202
Tm 0.938 0.325 0.798
Tm 0.365 0.501 0.768
Tm 0.500 0.000 0.000
Tm 0.635 0.499 0.232

(5)
Compound: YTl2RuO8
Source: Alexandria
Functional: PBE
Structure: optimized geometry

Properties
Crystal system: monoclinic
Raw formation energy (meV per atom): -1143

a b c (Å): 5.103 5.085 6.690
angles (deg): 90.01 90.01 91.71
Fractional coordinates of all 12 atoms:
Y 0.000 0.000 0.500
Tl 0.500 0.500 0.753
Tl 0.500 0.500 0.247
Ru 0.000 0.000 0.000
O 0.174 0.821 0.209
O 0.721 0.726 0.000
O 0.826 0.179 0.209
O 0.826 0.179 0.791
O 0.279 0.274 0.000
O 0.174 0.821 0.791
O 0.693 0.697 0.500
O 0.307 0.303 0.500

(6)
Compound: PuPaBr
Source: Alexandria
Functional: PBE
Structure: optimized geometry

Properties
Crystal system: monoclinic
Raw formation energy (meV per atom): -163

a b c (Å): 3.688 7.306 7.033
angles (deg): 59.01 74.80 75.38
Fractional coordinates of all 6 atoms:
Pu 0.273 0.789 0.665
Pu 0.727 0.211 0.335
Br 0.956 0.793 0.295
Br 0.044 0.207 0.705
Pa 0.332 0.292 0.044
Pa 0.668 0.708 0.956

Number 1: density of states at the Fermi level 3.006 states/eV per cell. Number 2: density of states at the Fermi level 3.221 states/eV per cell. Number 3: density of states at the Fermi level 5.767 states/eV per cell. Number 4: density of states at the Fermi level 20.477 states/eV per cell. Number 5: density of states at the Fermi level 4.145 states/eV per cell. Number 6: density of states at the Fermi level 7.420 states/eV per cell.